# CuMoIO2

A geometry-optimized CuMoIO2 structure (GGA+U, Alexandria).

Computed properties:
Energy above the most stable polymorph in this dataset, meV/atom: 0
E_tot, eV for the cell shown: -25.76

Cell: 3.8703 3.8703 7.3901 Å, 90.00 90.00 90.00°
With the nearest neighbours (Å) after each atom.
Fractional positions:
Cu: 0.0000 0.0000 0.0000  4 I 2.74
Mo: 0.5000 0.5000 0.5000  4 O 1.94
I: 0.5000 0.5000 0.0000  4 Cu 2.74
O: 0.0000 0.5000 0.5000  2 Mo 1.94
O: 0.5000 0.0000 0.5000  2 Mo 1.94